1.
SbMo4C3 | PBE | relaxed

Calculated total energy ... -9.269 eV per atom
Size of the total moment ... 0.003 μB/f.u.

Unit cell a=3.180 b=3.180 c=23.491 alpha=90.00 beta=90.00 gamma=120.00
Element x y z (fractional)
Mo 0.333 0.667 0.444
Mo 0.000 0.000 0.150
Mo 0.667 0.333 0.556
Mo 0.000 0.000 0.350
Mo 0.333 0.667 0.056
Mo 0.667 0.333 0.944
Mo 0.000 0.000 0.850
Mo 0.000 0.000 0.650
Sb 0.667 0.333 0.750
Sb 0.333 0.667 0.250
C 0.000 0.000 0.500
C 0.667 0.333 0.391
C 0.333 0.667 0.891
C 0.667 0.333 0.109
C 0.000 0.000 0.000
C 0.333 0.667 0.609

***

2.
SbMo3C2 | PBE | relaxed

Calculated total energy ... -9.050 eV per atom
Size of the total moment ... 0.001 μB/f.u.

Unit cell a=3.197 b=3.197 c=18.304 alpha=90.00 beta=90.00 gamma=120.00
Element x y z (fractional)
Mo 0.667 0.333 0.126
Mo 0.000 0.000 0.000
Mo 0.000 0.000 0.500
Mo 0.667 0.333 0.374
Mo 0.333 0.667 0.626
Mo 0.333 0.667 0.874
Sb 0.000 0.000 0.750
Sb 0.000 0.000 0.250
C 0.667 0.333 0.929
C 0.333 0.667 0.071
C 0.333 0.667 0.429
C 0.667 0.333 0.571

***

3.
SiSbMo4C2 | PBE | relaxed

Calculated total energy ... -8.943 eV per atom
Size of the total moment ... 0.001 μB/f.u.

Unit cell a=3.205 b=3.205 c=12.582 alpha=90.00 beta=90.00 gamma=120.00
Element x y z (fractional)
Sb 0.000 0.000 0.000
Mo 0.667 0.333 0.819
Mo 0.000 0.000 0.643
Mo 0.000 0.000 0.357
Mo 0.667 0.333 0.181
Si 0.667 0.333 0.500
C 0.333 0.667 0.261
C 0.333 0.667 0.739

***

4.
TlSbMo4C2 | PBE | relaxed

Calculated total energy ... -8.415 eV per atom
Size of the total moment ... 0.005 μB/f.u.

Unit cell a=3.207 b=3.207 c=13.619 alpha=90.00 beta=90.00 gamma=120.00
Element x y z (fractional)
Tl 0.667 0.333 0.000
Mo 0.333 0.667 0.823
Mo 0.667 0.333 0.336
Mo 0.667 0.333 0.664
Mo 0.333 0.667 0.177
Sb 0.333 0.667 0.500
C 0.000 0.000 0.745
C 0.000 0.000 0.255

***

5.
Sb3Mo2W4C3 | PBE | relaxed

Calculated total energy ... -9.204 eV per atom
Size of the total moment ... 0.003 μB/f.u.

Unit cell a=5.662 b=5.662 c=13.478 alpha=102.04 beta=102.04 gamma=60.02
Element x y z (fractional)
C 0.153 0.671 0.000
C 0.329 0.847 0.500
C 0.847 0.329 0.000
C 0.671 0.153 0.500
C 0.500 0.000 0.000
C 0.000 0.500 0.500
W 0.208 0.008 0.080
W 0.302 0.159 0.422
W 0.992 0.792 0.420
W 0.841 0.698 0.078
W 0.698 0.841 0.578
W 0.159 0.302 0.922
W 0.792 0.992 0.920
W 0.008 0.208 0.580
Sb 0.584 0.752 0.250
Sb 0.918 0.082 0.250
Sb 0.082 0.918 0.750
Sb 0.248 0.416 0.250
Sb 0.416 0.248 0.750
Sb 0.752 0.584 0.750
Mo 0.622 0.465 0.415
Mo 0.465 0.622 0.915
Mo 0.378 0.535 0.585
Mo 0.535 0.378 0.085

***

6.
Y4Sb3Mo2C3 | PBE | relaxed

Calculated total energy ... -7.727 eV per atom
Size of the total moment ... 0.001 μB/f.u.

Unit cell a=6.061 b=6.061 c=14.675 alpha=101.09 beta=101.09 gamma=60.62
Element x y z (fractional)
Sb 0.719 0.584 0.251
Sb 0.856 0.144 0.750
Sb 0.584 0.719 0.751
Sb 0.144 0.856 0.250
Sb 0.416 0.281 0.249
Sb 0.281 0.416 0.749
Mo 0.339 0.520 0.069
Mo 0.520 0.339 0.569
Mo 0.480 0.661 0.431
Mo 0.661 0.480 0.931
C 0.646 0.205 0.999
C 0.205 0.646 0.499
C 0.354 0.795 0.001
C 0.795 0.354 0.501
C 0.500 0.000 0.500
C 0.000 0.500 0.000
Y 0.698 0.875 0.094
Y 0.125 0.302 0.406
Y 0.037 0.188 0.094
Y 0.963 0.812 0.906
Y 0.812 0.963 0.406
Y 0.302 0.125 0.906
Y 0.188 0.037 0.594
Y 0.875 0.698 0.594

***

7.
Y2Sb3Mo4C3 | PBE | relaxed

Calculated total energy ... -8.260 eV per atom
Size of the total moment ... 0.002 μB/f.u.

Unit cell a=5.843 b=5.843 c=13.943 alpha=98.62 beta=98.62 gamma=60.83
Element x y z (fractional)
Mo 0.806 0.004 0.429
Mo 0.165 0.309 0.431
Mo 0.691 0.835 0.069
Mo 0.309 0.165 0.931
Mo 0.835 0.691 0.569
Mo 0.996 0.194 0.071
Mo 0.004 0.806 0.929
Mo 0.194 0.996 0.571
C 0.675 0.144 0.997
C 0.000 0.500 0.000
C 0.856 0.325 0.503
C 0.144 0.675 0.497
C 0.500 0.000 0.500
C 0.325 0.856 0.003
Sb 0.968 0.032 0.750
Sb 0.824 0.564 0.240
Sb 0.032 0.968 0.250
Sb 0.436 0.176 0.260
Sb 0.564 0.824 0.740
Sb 0.176 0.436 0.760
Y 0.370 0.528 0.106
Y 0.630 0.472 0.894
Y 0.528 0.370 0.606
Y 0.472 0.630 0.394

***

8.
Zr4Sb3Mo2C3 | PBE | relaxed

Calculated total energy ... -8.504 eV per atom
Size of the total moment ... 0.003 μB/f.u.

Unit cell a=5.921 b=5.921 c=13.811 alpha=102.14 beta=102.14 gamma=60.14
Element x y z (fractional)
Sb 0.728 0.583 0.251
Sb 0.890 0.110 0.750
Sb 0.272 0.417 0.749
Sb 0.583 0.728 0.751
Sb 0.110 0.890 0.250
Sb 0.417 0.272 0.249
Mo 0.650 0.476 0.925
Mo 0.476 0.650 0.425
Mo 0.524 0.350 0.575
Mo 0.350 0.524 0.075
Zr 0.867 0.696 0.591
Zr 0.193 0.033 0.591
Zr 0.967 0.807 0.909
Zr 0.696 0.867 0.091
Zr 0.133 0.304 0.409
Zr 0.807 0.967 0.409
Zr 0.033 0.193 0.091
Zr 0.304 0.133 0.909
C 0.663 0.174 0.000
C 0.337 0.826 0.000
C 0.500 0.000 0.500
C 0.000 0.500 0.000
C 0.826 0.337 0.500
C 0.174 0.663 0.500

***

9.
TbScMo2C3 | PBE | relaxed

Calculated total energy ... -8.941 eV per atom
Size of the total moment ... 0.002 μB/f.u.

Unit cell a=5.865 b=5.865 c=5.593 alpha=108.40 beta=108.40 gamma=33.02
Element x y z (fractional)
Mo 0.852 0.852 0.133
Mo 0.148 0.148 0.866
C 0.996 0.996 0.984
C 0.275 0.275 0.254
C 0.734 0.734 0.757
Sc 0.381 0.381 0.686
Tb 0.614 0.614 0.320

***

10.
Sc2Tl3Mo4C3 | PBE | relaxed

Calculated total energy ... -7.727 eV per atom
Size of the total moment ... 0.007 μB/f.u.

Unit cell a=5.598 b=5.598 c=14.586 alpha=101.39 beta=101.39 gamma=60.29
Element x y z (fractional)
Tl 0.414 0.225 0.747
Tl 0.775 0.586 0.753
Tl 0.225 0.414 0.247
Tl 0.586 0.775 0.253
Tl 0.058 0.942 0.750
Tl 0.942 0.058 0.250
Sc 0.533 0.372 0.091
Sc 0.628 0.467 0.409
Sc 0.372 0.533 0.591
Sc 0.467 0.628 0.909
C 0.000 0.500 0.500
C 0.500 0.000 0.000
C 0.841 0.330 0.000
C 0.159 0.670 0.000
C 0.330 0.841 0.500
C 0.670 0.159 0.500
Mo 0.693 0.849 0.572
Mo 0.018 0.200 0.572
Mo 0.200 0.018 0.072
Mo 0.151 0.307 0.928
Mo 0.307 0.151 0.428
Mo 0.982 0.800 0.428
Mo 0.800 0.982 0.928
Mo 0.849 0.693 0.072

***

11.
Sc4Zn3Mo2C3 | PBE | relaxed

Calculated total energy ... -6.937 eV per atom
Size of the total moment ... 0.001 μB/f.u.

Unit cell a=5.584 b=5.584 c=14.173 alpha=102.57 beta=102.57 gamma=60.41
Element x y z (fractional)
C 0.340 0.819 0.000
C 0.819 0.340 0.500
C 0.181 0.660 0.500
C 0.660 0.181 0.000
C 0.000 0.500 0.000
C 0.500 0.000 0.500
Sc 0.953 0.812 0.904
Sc 0.882 0.700 0.596
Sc 0.188 0.047 0.596
Sc 0.812 0.953 0.404
Sc 0.700 0.882 0.096
Sc 0.118 0.300 0.404
Sc 0.300 0.118 0.904
Sc 0.047 0.188 0.096
Zn 0.317 0.421 0.753
Zn 0.683 0.579 0.247
Zn 0.843 0.157 0.750
Zn 0.579 0.683 0.747
Zn 0.157 0.843 0.250
Zn 0.421 0.317 0.253
Mo 0.652 0.474 0.929
Mo 0.348 0.526 0.071
Mo 0.474 0.652 0.429
Mo 0.526 0.348 0.571

***

12.
ZrScMo2C3 | PBE | relaxed

Calculated total energy ... -9.594 eV per atom
Size of the total moment ... 0.003 μB/f.u.

Unit cell a=5.850 b=5.850 c=5.467 alpha=111.30 beta=111.30 gamma=32.25
Element x y z (fractional)
Mo 0.142 0.142 0.847
Mo 0.856 0.856 0.146
C 0.000 0.000 0.999
C 0.267 0.267 0.255
C 0.734 0.734 0.746
Sc 0.380 0.380 0.694
Zr 0.622 0.622 0.312

***

13.
TeMo2CSe | PBE | relaxed

Calculated total energy ... -7.688 eV per atom
Size of the total moment ... 0.003 μB/f.u.

Unit cell a=3.351 b=3.351 c=9.675 alpha=90.00 beta=90.00 gamma=120.00
Element x y z (fractional)
Mo 0.667 0.333 0.095
Mo 0.333 0.667 0.886
Se 0.667 0.333 0.706
C 0.000 0.000 0.999
Te 0.333 0.667 0.315

***

14.
SiMo2C | PBE | relaxed

Calculated total energy ... -9.194 eV per atom
Size of the total moment ... 0.001 μB/f.u.

Unit cell a=5.386 b=5.386 c=12.785 alpha=102.14 beta=102.14 gamma=60.00
Element x y z (fractional)
Mo 0.302 0.134 0.905
Mo 0.530 0.362 0.591
Mo 0.638 0.470 0.909
Mo 0.197 0.033 0.595
Mo 0.033 0.197 0.095
Mo 0.134 0.302 0.405
Mo 0.803 0.967 0.405
Mo 0.866 0.698 0.595
Mo 0.362 0.530 0.091
Mo 0.470 0.638 0.409
Mo 0.967 0.803 0.905
Mo 0.698 0.866 0.095
Si 0.417 0.258 0.250
Si 0.742 0.583 0.250
Si 0.908 0.092 0.750
Si 0.583 0.742 0.750
Si 0.258 0.417 0.750
Si 0.092 0.908 0.250
C 0.000 0.500 0.000
C 0.500 0.000 0.500
C 0.332 0.836 0.000
C 0.836 0.332 0.500
C 0.668 0.164 0.000
C 0.164 0.668 0.500

***

15.
SiMo3C2 | PBE | relaxed

Calculated total energy ... -9.383 eV per atom
Size of the total moment ... 0.001 μB/f.u.

Unit cell a=3.105 b=3.105 c=17.448 alpha=90.00 beta=90.00 gamma=120.00
Element x y z (fractional)
C 0.667 0.333 0.574
C 0.333 0.667 0.074
C 0.667 0.333 0.926
C 0.333 0.667 0.426
Mo 0.000 0.000 0.000
Mo 0.667 0.333 0.361
Mo 0.667 0.333 0.139
Mo 0.333 0.667 0.639
Mo 0.333 0.667 0.861
Mo 0.000 0.000 0.500
Si 0.000 0.000 0.750
Si 0.000 0.000 0.250

***

16.
Si2MoC | PBE | relaxed

Calculated total energy ... -7.437 eV per atom
Size of the total moment ... 0.016 μB/f.u.

Unit cell a=2.854 b=2.854 c=13.199 alpha=90.00 beta=90.00 gamma=120.00
Element x y z (fractional)
C 0.000 0.000 0.500
C 0.000 0.000 0.000
Si 0.333 0.667 0.090
Si 0.667 0.333 0.590
Si 0.333 0.667 0.410
Si 0.667 0.333 0.910
Mo 0.333 0.667 0.750
Mo 0.667 0.333 0.250

***

17.
SiMo2C | PBE | relaxed

Calculated total energy ... -9.193 eV per atom
Size of the total moment ... 0.002 μB/f.u.

Unit cell a=3.100 b=3.100 c=12.463 alpha=90.00 beta=90.00 gamma=120.00
Element x y z (fractional)
Mo 0.667 0.333 0.594
Mo 0.333 0.667 0.406
Mo 0.667 0.333 0.906
Mo 0.333 0.667 0.094
C 0.000 0.000 0.500
C 0.000 0.000 0.000
Si 0.333 0.667 0.750
Si 0.667 0.333 0.250

***

18.
Sm2SiMo2C2 | PBE | relaxed

Calculated total energy ... -8.098 eV per atom
Size of the total moment ... 0.010 μB/f.u.

Unit cell a=6.829 b=6.829 c=5.807 alpha=97.54 beta=97.54 gamma=27.98
Element x y z (fractional)
Sm 0.368 0.368 0.117
Sm 0.632 0.632 0.883
Mo 0.830 0.830 0.607
Mo 0.170 0.170 0.393
C 0.255 0.255 0.729
C 0.745 0.745 0.271
Si 0.000 0.000 0.500